Entry 1:
The following is a DFT calculation (PBE-GGA) of an optimized crystal structure of TaCoCl2.

Summary:
**Final energy**: -5.8729 eV/atom
**DOS(E_F)**: 3.5 states/eV per cell
**Relative energy among the computed polymorphs**: 307.7 meV/atom
**ρ**: 5.52 Mg/m³

Lattice parameters (Å, degrees): 3.042 4.144 14.826 90.00 90.00 90.00
Space group Immm (No. 71)
Inequivalent atoms, fractional coordinates:
Ta: 0.000 0.000 0.000 (multiplicity 2)
Co: 0.000 0.000 0.500 (multiplicity 2)
Cl: 0.000 0.500 0.363 (multiplicity 4)

=====

Entry 2:
The following is a DFT calculation (PBE-GGA) of an optimized crystal structure of Ta2CoCl.

Summary:
**Final energy**: -8.1670 eV/atom
**DOS(E_F)**: 0.2 states/eV per cell
**Relative energy among the computed polymorphs**: 0.0 meV/atom
**ρ**: 10.21 Mg/m³

Lattice parameters (Å, degrees): 6.311 3.660 6.704 90.00 106.58 90.00
Space group C2/m (No. 12)
Inequivalent atoms, fractional coordinates:
Ta: 0.218 0.000 0.173 (multiplicity 4)
Co: 0.000 0.500 0.000 (multiplicity 2)
Cl: 0.000 0.000 0.500 (multiplicity 2)

=====

Entry 3:
The following is a DFT calculation (PBE-GGA) of an optimized crystal structure of TaCoCl2.

Summary:
**Final energy**: -5.5601 eV/atom
**DOS(E_F)**: 18.3 states/eV per cell
**Relative energy among the computed polymorphs**: 620.5 meV/atom
**ρ**: 6.22 Mg/m³

Lattice parameters (Å, degrees): 3.0227 3.0227 31.4402 90.00 90.00 120.00
Space group R-3m (No. 166, hexagonal axes)
Inequivalent atoms, fractional coordinates:
Ta: 0.0000 0.0000 0.0000 (multiplicity 3)
Co: 0.0000 0.0000 0.5000 (multiplicity 3)
Cl: 0.0000 0.0000 0.2749 (multiplicity 6)

=====

Entry 4:
The following is a DFT calculation (PBE-GGA) of an optimized crystal structure of TaCo2Cl.

Summary:
**Final energy**: -6.3201 eV/atom
**DOS(E_F)**: 7.3 states/eV per cell
**Relative energy among the computed polymorphs**: 648.6 meV/atom
**ρ**: 10.10 Mg/m³

Lattice parameters (Å, degrees): 3.834 3.834 7.474 90.00 90.00 90.00
Space group I4/mmm (No. 139)
Inequivalent atoms, fractional coordinates:
Ta: 0.000 0.000 0.000 (multiplicity 2)
Co: 0.000 0.500 0.250 (multiplicity 4)
Cl: 0.000 0.000 0.500 (multiplicity 2)

=====

Which of these has the lowest ρ?
number 1